(1)
Compound: RbBa2B2S6
Source: the Alexandria database
Functional: GGA-PBE
Structure: relaxed

Summary:
The calculation puts the calculated density at 3.2 g/cm3. The raw total energy is -55.35 eV/cell. The value obtained for the magnetic moment is 0.00 μB per cell. The volume comes out at 300.9 Å³/f.u.

CIF file:
```
data_RbBa2B2S6
_chemical_formula_sum 'Rb1 Ba2 B2 S6'
_cell_length_a 6.6399
_cell_length_b 6.6399
_cell_length_c 9.1437
_cell_angle_alpha 110.89
_cell_angle_beta 110.89
_cell_angle_gamma 54.59
_space_group_name_H-M_alt 'P 1'
_space_group_IT_number 1
loop_
_space_group_symop_operation_xyz
'x,y,z'
loop_
_atom_site_label
_atom_site_type_symbol
_atom_site_fract_x
_atom_site_fract_y
_atom_site_fract_z
Rb1 Rb 0.0000 0.0000 0.0000
Ba1 Ba 0.1907 0.1907 0.6959
Ba2 Ba 0.8093 0.8093 0.3041
B1 B 0.4795 0.4795 0.2749
B2 B 0.5205 0.5205 0.7251
S1 S 0.1792 0.6716 0.6567
S2 S 0.3167 0.3167 0.1499
S3 S 0.3284 0.8208 0.3433
S4 S 0.6716 0.1792 0.6567
S5 S 0.6833 0.6833 0.8501
S6 S 0.8208 0.3284 0.3433
```

---

(2)
Compound: YTm4Al2
Source: the Alexandria database
Functional: GGA-PBE
Structure: relaxed

Summary:
The calculation puts the calculated density at 7.5 g/cm3. The raw total energy is -33.35 eV/cell. The value obtained for the magnetic moment is 0.00 μB per cell. As for the polymorph energy (0 for the lowest one): 0 meV/atom. The formation energy is -217 meV per atom. The volume comes out at 181.6 Å³/f.u.

CIF file:
```
data_YTm4Al2
_chemical_formula_sum 'Y1 Tm4 Al2'
_cell_length_a 8.2746
_cell_length_b 8.2746
_cell_length_c 8.2746
_cell_angle_alpha 36.74
_cell_angle_beta 36.74
_cell_angle_gamma 36.74
_space_group_name_H-M_alt 'P 1'
_space_group_IT_number 1
loop_
_space_group_symop_operation_xyz
'x,y,z'
loop_
_atom_site_label
_atom_site_type_symbol
_atom_site_fract_x
_atom_site_fract_y
_atom_site_fract_z
Y1 Y 0.0000 0.0000 0.0000
Tm1 Tm 0.1535 0.1535 0.1535
Tm2 Tm 0.4203 0.4203 0.4203
Tm3 Tm 0.5797 0.5797 0.5797
Tm4 Tm 0.8465 0.8465 0.8465
Al1 Al 0.2827 0.2827 0.2827
Al2 Al 0.7173 0.7173 0.7173
```

---

(3)
Compound: Ba3AcTl2
Source: the Alexandria database
Functional: GGA-PBE
Structure: relaxed

Summary:
The calculation puts the calculated density at 6.3 g/cm3. The raw total energy is -32.18 eV/cell. The value obtained for the magnetic moment is 0.00 μB per cell. As for the polymorph energy (0 for the lowest one): 28 meV/atom. The formation energy is -247 meV per atom. The volume comes out at 276.5 Å³/f.u.

CIF file:
```
data_Ba3AcTl2
_chemical_formula_sum 'Ba6 Ac2 Tl4'
_cell_length_a 10.4973
_cell_length_b 10.4973
_cell_length_c 10.4973
_cell_angle_alpha 135.61
_cell_angle_beta 64.17
_cell_angle_gamma 136.15
_space_group_name_H-M_alt 'P 1'
_space_group_IT_number 1
loop_
_space_group_symop_operation_xyz
'x,y,z'
loop_
_atom_site_label
_atom_site_type_symbol
_atom_site_fract_x
_atom_site_fract_y
_atom_site_fract_z
Ba1 Ba 0.1847 0.7485 0.9332
Ba2 Ba 0.2500 0.2500 0.0000
Ba3 Ba 0.3153 0.2485 0.5638
Ba4 Ba 0.6847 0.7515 0.4362
Ba5 Ba 0.7500 0.7500 0.0000
Ba6 Ba 0.8153 0.2515 0.0668
Ac1 Ac 0.2500 0.7500 0.5000
Ac2 Ac 0.7500 0.2500 0.5000
Tl1 Tl 0.1200 0.2646 0.3845
Tl2 Tl 0.3800 0.7646 0.1446
Tl3 Tl 0.6200 0.2354 0.8554
Tl4 Tl 0.8800 0.7354 0.6155
```